No. 1
Entry from the Alexandria database: crystalline BaMg2Tl2Hg at its relaxed geometry (GGA-PBE).

Results
Calculated volume   177.9 Å³/cell
Formation energy   -0.23 eV/atom
Fermi-level density of states   2.97 states/eV per cell
Magnetization   0.0 μB/cell
SG   P-3m1

Structure (CIF):
```
data_BaMg2Tl2Hg
_cell_length_a 4.895
_cell_length_b 4.895
_cell_length_c 8.572
_cell_angle_alpha 90.00
_cell_angle_beta 90.00
_cell_angle_gamma 120.00
_space_group_name_H-M_alt 'P 1'
_space_group_IT_number 1
_space_group_name_Hall 'P 1'
loop_
_atom_site_label
_atom_site_type_symbol
_atom_site_fract_x
_atom_site_fract_y
_atom_site_fract_z
Mg1 Mg 0.667 0.333 0.380
Mg2 Mg 0.333 0.667 0.620
Tl1 Tl 0.333 0.667 0.247
Tl2 Tl 0.667 0.333 0.753
Hg1 Hg 0.000 0.000 0.500
Ba1 Ba 0.000 0.000 0.000
```

***

No. 2
Entry from the Alexandria database: crystalline CoAg4Cl6 at its relaxed geometry (GGA-PBE).

Results
Calculated volume   574.0 Å³/cell
Magnetization   6.0 μB/cell
Formation energy without anion corrections   -0.466 eV per atom
SG   Cc

Structure (CIF):
```
data_CoAg4Cl6
_cell_length_a 7.430
_cell_length_b 7.391
_cell_length_c 12.840
_cell_angle_alpha 72.89
_cell_angle_beta 73.18
_cell_angle_gamma 59.83
_space_group_name_H-M_alt 'P 1'
_space_group_IT_number 1
_space_group_name_Hall 'P 1'
loop_
_atom_site_label
_atom_site_type_symbol
_atom_site_fract_x
_atom_site_fract_y
_atom_site_fract_z
Cl1 Cl 0.962 0.598 0.951
Cl2 Cl 0.989 0.601 0.450
Cl3 Cl 0.478 0.605 0.470
Cl4 Cl 0.251 0.319 0.711
Cl5 Cl 0.719 0.819 0.211
Cl6 Cl 0.920 0.027 0.646
Cl7 Cl 0.489 0.098 0.451
Cl8 Cl 0.017 0.153 0.266
Cl9 Cl 0.407 0.527 0.146
Cl10 Cl 0.960 0.101 0.950
Cl11 Cl 0.564 0.653 0.766
Cl12 Cl 0.446 0.105 0.970
Ag1 Ag 0.267 0.739 0.308
Ag2 Ag 0.686 0.239 0.808
Ag3 Ag 0.553 0.711 0.959
Ag4 Ag 0.763 0.169 0.152
Ag5 Ag 0.777 0.211 0.459
Ag6 Ag 0.081 0.482 0.146
Ag7 Ag 0.916 0.669 0.652
Ag8 Ag 0.291 0.982 0.646
Co1 Co 0.673 0.782 0.395
Co2 Co 0.149 0.282 0.895
```

***

No. 3
Entry from the Alexandria database: crystalline AcDy3Pb2 at its relaxed geometry (GGA-PBE).

Results
Calculated volume   395.4 Å³/cell
Formation energy   -0.33 eV/atom
Fermi-level density of states   15.05 states/eV per cell
Magnetization   1.3 μB/cell
SG   C2/m

Structure (CIF):
```
data_AcDy3Pb2
_cell_length_a 4.809
_cell_length_b 10.703
_cell_length_c 9.515
_cell_angle_alpha 123.07
_cell_angle_beta 90.00
_cell_angle_gamma 102.98
_space_group_name_H-M_alt 'P 1'
_space_group_IT_number 1
_space_group_name_Hall 'P 1'
loop_
_atom_site_label
_atom_site_type_symbol
_atom_site_fract_x
_atom_site_fract_y
_atom_site_fract_z
Ac1 Ac 0.116 0.233 0.086
Ac2 Ac 0.884 0.767 0.914
Dy1 Dy 0.307 0.614 0.502
Dy2 Dy 0.638 0.277 0.790
Dy3 Dy 0.362 0.723 0.210
Dy4 Dy 0.693 0.386 0.498
Dy5 Dy 0.061 0.121 0.431
Dy6 Dy 0.939 0.879 0.569
Pb1 Pb 0.238 0.476 0.777
Pb2 Pb 0.486 0.971 0.816
Pb3 Pb 0.514 0.029 0.184
Pb4 Pb 0.762 0.524 0.223
```

***

No. 4
Entry from the Alexandria database: crystalline Ta2IrPb at its relaxed geometry (GGA-PBE).

Results
Calculated volume   79.7 Å³/cell
Formation energy   0.24 eV/atom
Fermi-level density of states   4.83 states/eV per cell
Magnetization   0.0 μB/cell
SG   R3m

Structure (CIF):
```
data_Ta2IrPb
_cell_length_a 9.635
_cell_length_b 9.635
_cell_length_c 9.635
_cell_angle_alpha 18.63
_cell_angle_beta 18.63
_cell_angle_gamma 18.63
_space_group_name_H-M_alt 'P 1'
_space_group_IT_number 1
_space_group_name_Hall 'P 1'
loop_
_atom_site_label
_atom_site_type_symbol
_atom_site_fract_x
_atom_site_fract_y
_atom_site_fract_z
Ir1 Ir 0.511 0.511 0.511
Ta1 Ta 0.245 0.245 0.245
Ta2 Ta 0.992 0.992 0.992
Pb1 Pb 0.752 0.752 0.752
```

***

No. 5
Entry from the Alexandria database: crystalline ScHg2Pb2 at its relaxed geometry (GGA-PBE).

Results
Calculated volume   270.1 Å³/cell
Formation energy   -0.01 eV/atom
E above lowest polymorph   0.00 kJ/mol of atoms
Fermi-level density of states   5.01 states/eV per cell
Magnetization   0.0 μB/cell
SG   P4/mbm

Structure (CIF):
```
data_ScHg2Pb2
_cell_length_a 7.777
_cell_length_b 7.777
_cell_length_c 4.465
_cell_angle_alpha 90.00
_cell_angle_beta 90.00
_cell_angle_gamma 90.00
_space_group_name_H-M_alt 'P 1'
_space_group_IT_number 1
_space_group_name_Hall 'P 1'
loop_
_atom_site_label
_atom_site_type_symbol
_atom_site_fract_x
_atom_site_fract_y
_atom_site_fract_z
Hg1 Hg 0.366 0.866 0.000
Hg2 Hg 0.134 0.366 0.000
Hg3 Hg 0.866 0.634 0.000
Hg4 Hg 0.634 0.134 0.000
Pb1 Pb 0.175 0.675 0.500
Pb2 Pb 0.675 0.825 0.500
Pb3 Pb 0.825 0.325 0.500
Pb4 Pb 0.325 0.175 0.500
Sc1 Sc 0.000 0.000 0.000
Sc2 Sc 0.500 0.500 0.000
```

***

No. 6
Entry from the Alexandria database: crystalline MnAlAg2 at its relaxed geometry (GGA-PBE).

Results
Calculated volume   65.6 Å³/cell
Formation energy   0.07 eV/atom
Fermi-level density of states   1.67 states/eV per cell
Magnetization   3.6 μB/cell
SG   C2/m

Structure (CIF):
```
data_MnAlAg2
_cell_length_a 4.956
_cell_length_b 4.956
_cell_length_c 4.844
_cell_angle_alpha 78.49
_cell_angle_beta 78.49
_cell_angle_gamma 34.32
_space_group_name_H-M_alt 'P 1'
_space_group_IT_number 1
_space_group_name_Hall 'P 1'
loop_
_atom_site_label
_atom_site_type_symbol
_atom_site_fract_x
_atom_site_fract_y
_atom_site_fract_z
Ag1 Ag 0.996 0.996 0.000
Ag2 Ag 0.504 0.504 0.500
Mn1 Mn 0.750 0.750 0.750
Al1 Al 0.250 0.250 0.250
```

***

No. 7
Entry from the Alexandria database: crystalline Si6Os7 at its relaxed geometry (GGA-PBE).

Results
Calculated volume   199.2 Å³/cell
Fermi-level density of states   12.71 states/eV per cell
Magnetization   0.0 μB/cell
Formation energy without anion corrections   0.359 eV per atom
SG   R-3m

Structure (CIF):
```
data_Si6Os7
_cell_length_a 8.677
_cell_length_b 8.677
_cell_length_c 8.677
_cell_angle_alpha 35.74
_cell_angle_beta 35.74
_cell_angle_gamma 35.74
_space_group_name_H-M_alt 'P 1'
_space_group_IT_number 1
_space_group_name_Hall 'P 1'
loop_
_atom_site_label
_atom_site_type_symbol
_atom_site_fract_x
_atom_site_fract_y
_atom_site_fract_z
Si1 Si 0.335 0.335 0.335
Si2 Si 0.829 0.829 0.829
Si3 Si 0.946 0.946 0.946
Si4 Si 0.054 0.054 0.054
Si5 Si 0.171 0.171 0.171
Si6 Si 0.665 0.665 0.665
Os1 Os 0.581 0.581 0.076
Os2 Os 0.419 0.924 0.419
Os3 Os 0.924 0.419 0.419
Os4 Os 0.076 0.581 0.581
Os5 Os 0.500 0.500 0.500
Os6 Os 0.419 0.419 0.924
Os7 Os 0.581 0.076 0.581
```

***

No. 8
Entry from the Alexandria database: crystalline BaYSe2F at its relaxed geometry (GGA-PBE).

Results
Calculated volume   139.0 Å³/cell
E above lowest polymorph   0.00 kJ/mol of atoms
Fermi-level density of states   0.00 states/eV per cell
Magnetization   0.0 μB/cell
Formation energy without anion corrections   -2.535 eV per atom
SG   P4/mmm

Structure (CIF):
```
data_BaYSe2F
_cell_length_a 5.617
_cell_length_b 5.617
_cell_length_c 4.404
_cell_angle_alpha 90.00
_cell_angle_beta 90.00
_cell_angle_gamma 90.00
_space_group_name_H-M_alt 'P 1'
_space_group_IT_number 1
_space_group_name_Hall 'P 1'
loop_
_atom_site_label
_atom_site_type_symbol
_atom_site_fract_x
_atom_site_fract_y
_atom_site_fract_z
Se1 Se 0.000 0.500 0.000
Se2 Se 0.500 0.000 0.000
Ba1 Ba 0.500 0.500 0.500
Y1 Y 0.000 0.000 0.000
F1 F 0.000 0.000 0.500
```

***

No. 9
Entry from the Alexandria database: crystalline NaTi3Hg at its relaxed geometry (GGA-PBE).

Results
Calculated volume   104.5 Å³/cell
Formation energy   1.48 eV/atom
E above lowest polymorph   34.68 kJ/mol of atoms
Fermi-level density of states   6.49 states/eV per cell
Magnetization   0.0 μB/cell
SG   Pm-3m

Structure (CIF):
```
data_NaTi3Hg
_cell_length_a 4.710
_cell_length_b 4.710
_cell_length_c 4.710
_cell_angle_alpha 90.00
_cell_angle_beta 90.00
_cell_angle_gamma 90.00
_space_group_name_H-M_alt 'P 1'
_space_group_IT_number 1
_space_group_name_Hall 'P 1'
loop_
_atom_site_label
_atom_site_type_symbol
_atom_site_fract_x
_atom_site_fract_y
_atom_site_fract_z
Ti1 Ti 0.000 0.500 0.000
Ti2 Ti 0.000 0.000 0.500
Ti3 Ti 0.500 0.000 0.000
Hg1 Hg 0.500 0.500 0.500
Na1 Na 0.000 0.000 0.000
```

***

No. 10
Entry from the Alexandria database: crystalline Tm3PuTe4 at its relaxed geometry (GGA-PBE).

Results
Calculated volume   229.8 Å³/cell
E above lowest polymorph   0.00 kJ/mol of atoms
Fermi-level density of states   11.14 states/eV per cell
Magnetization   6.1 μB/cell
Formation energy without anion corrections   -1.171 eV per atom
SG   Cmmm

Structure (CIF):
```
data_Tm3PuTe4
_cell_length_a 4.307
_cell_length_b 7.514
_cell_length_c 7.514
_cell_angle_alpha 109.08
_cell_angle_beta 90.00
_cell_angle_gamma 90.00
_space_group_name_H-M_alt 'P 1'
_space_group_IT_number 1
_space_group_name_Hall 'P 1'
loop_
_atom_site_label
_atom_site_type_symbol
_atom_site_fract_x
_atom_site_fract_y
_atom_site_fract_z
Te1 Te 0.000 0.744 0.744
Te2 Te 0.500 0.747 0.253
Te3 Te 0.500 0.253 0.747
Te4 Te 0.000 0.256 0.256
Tm1 Tm 0.000 0.500 0.000
Tm2 Tm 0.000 0.000 0.500
Tm3 Tm 0.500 0.500 0.500
Pu1 Pu 0.500 0.000 0.000
```